The following is a PBE calculation of crystalline Pr8Nd5Cd at its relaxed geometry, from the Alexandria database.

a b c (Å): 14.6564 9.1109 9.3201
angles (deg): 90.00 126.48 90.00
Closest atoms and distances in Å follow each position.
Space group C2 (No. 5)
Inequivalent atoms, fractional coordinates:
Pr1 0.0763 0.0000 0.4308 [4 per cell]  2 Pr 3.18-3.29, 2 Nd 3.30-3.52, 1 Cd 3.45
Pr2 0.1718 0.6310 0.6355 [4 per cell]  1 Cd 3.37, 4 Pr 3.63-3.73, 2 Nd 3.64-3.70
Pr3 0.2293 0.4325 0.0323 [4 per cell]  3 Nd 3.40-3.62, 2 Pr 3.73
Pr4 0.2346 0.7532 0.3122 [4 per cell]  1 Cd 3.27, 2 Pr 3.29-3.63, 3 Nd 3.39-3.53
Nd1 0.0000 0.0656 0.0000 [2 per cell]  2 Pr 3.52, 4 Nd 3.56-3.58
Nd2 0.0437 0.7274 0.8586 [4 per cell]  6 Pr 3.30-3.64, 3 Nd 3.40-3.56
Nd3 0.0928 0.3994 0.2515 [4 per cell]  1 Cd 3.36, 2 Nd 3.40-3.58, 4 Pr 3.53-3.70
Cd1 0.0000 0.3366 0.5000 [2 per cell]  6 Pr 3.27-3.45, 2 Nd 3.36

calculated total energy	-4.373	eV/atom

=====

The following is a PBE calculation of crystalline Pr4Nd3Cd2 at its relaxed geometry, from the Alexandria database.

a b c (Å): 15.4728 5.1184 7.8600
angles (deg): 90.00 109.39 90.00
Closest atoms and distances in Å follow each position.
Space group C2/m (No. 12)
Inequivalent atoms, fractional coordinates:
Pr1 0.0542 0.0000 0.3321 [4 per cell]  2 Cd 3.48-3.54, 6 Nd 3.55-3.65, 4 Pr 3.57-3.70
Pr2 0.2225 0.5000 0.3092 [4 per cell]  3 Cd 3.45, 4 Nd 3.49-3.79, 5 Pr 3.66-3.82
Nd1 0.0000 0.5000 0.0000 [2 per cell]  6 Pr 3.49-3.55, 2 Nd 3.55, 4 Cd 3.58
Nd2 0.1157 0.5000 0.6784 [4 per cell]  3 Cd 3.49-3.54, 2 Nd 3.55-3.74, 7 Pr 3.56-3.79
Cd1 0.1616 0.0000 0.9982 [4 per cell]  5 Pr 3.45-3.54, 5 Nd 3.49-3.58, 2 Cd 3.74

calculated total energy	-3.990	eV/atom

=====

The following is a PBE calculation of crystalline Pr8Nd2Cd at its relaxed geometry, from the Alexandria database.

a b c (Å): 17.9770 5.6654 8.1746
angles (deg): 90.00 111.84 90.00
Closest atoms and distances in Å follow each position.
Space group C2/m (No. 12)
Inequivalent atoms, fractional coordinates:
Pr1 0.0170 0.0000 0.2635 [4 per cell]  2 Cd 3.51, 6 Pr 3.53-3.81, 1 Nd 3.53
Pr2 0.1009 0.5000 0.9321 [4 per cell]  1 Cd 3.32, 2 Nd 3.43, 2 Pr 3.54
Pr3 0.1670 0.5000 0.4241 [4 per cell]  1 Cd 3.28, 1 Nd 3.44, 1 Pr 3.45
Pr4 0.1775 0.0000 0.7271 [4 per cell]  3 Nd 3.44-3.60, 7 Pr 3.45-3.81
Nd1 0.1899 0.0000 0.1568 [4 per cell]  9 Pr 3.43-3.69
Cd1 0.0000 0.5000 0.5000 [2 per cell]  8 Pr 3.28-3.51

calculated total energy	-4.386	eV/atom

=====

Values for ΔE_f, eV per atom, ordered as above
0.13 -0.07 0.04